Record 1
First-principles (GGA-PBE) data for crystalline CsBiH at its relaxed geometry, as listed in Alexandria.

Cell and atoms, written as POSCAR:
```
CsBiH
1.0
6.159 0.000 0.000
-3.079 6.717 0.304
0.000 -3.682 5.867
H Cs Bi
2 2 2
Direct
0.632 0.264 0.102
0.991 0.981 0.496
0.983 0.966 0.014
0.344 0.688 0.361
0.657 0.313 0.850
0.150 0.300 0.684
```

Computed properties:
As for the space-group type: Cm, No. 8. The calculation puts the density of states at the Fermi level at 0.096 states/eV per atom. The offset from the most stable computed form is 0.00 eV/f.u.

---

Record 2
First-principles (GGA-PBE) data for crystalline CsBi2H2 at its relaxed geometry, as listed in Alexandria.

Cell and atoms, written as POSCAR:
```
CsBi2H2
1.0
6.848 0.049 0.006
-3.460 3.428 1.015
0.042 1.561 7.290
Cs H Bi
1 2 2
Direct
0.000 0.000 0.000
0.379 0.251 0.241
0.621 0.749 0.759
0.761 0.023 0.479
0.239 0.977 0.521
```

Computed properties:
As for the space-group type: P-1, No. 2. The calculation puts the density of states at the Fermi level at 0.245 states/eV per atom.

---

So what do the calculations give for E_tot? Going down the list: -2.807 -3.017 eV/atom.